1.
Material: ScTaCu2
Method: DFT, GGA-PBE
State: relaxed

Cell lengths 4.4982, 4.4982, 4.4982 Å; angles 60.00, 60.00, 60.00 degrees
Element x y z (fractional)
Sc 0.0000 0.0000 0.0000
Cu 0.2500 0.2500 0.2500
Cu 0.7500 0.7500 0.7500
Ta 0.5000 0.5000 0.5000

Its space group is No. 225.

***

2.
Material: ScTaCu2
Method: DFT, GGA-PBE
State: relaxed

Cell lengths 8.8027, 8.8027, 8.8027 Å; angles 19.61, 19.61, 19.61 degrees
Element x y z (fractional)
Cu 0.9953 0.9953 0.9953
Cu 0.2569 0.2569 0.2569
Sc 0.5043 0.5043 0.5043
Ta 0.7435 0.7435 0.7435

Its space group is No. 160.

***

3.
Material: ScTaCu2
Method: DFT, GGA-PBE
State: relaxed

Cell lengths 5.1115, 5.1115, 5.1115 Å; angles 135.92, 135.92, 64.11 degrees
Element x y z (fractional)
Cu 0.0000 0.0000 0.0000
Cu 0.2500 0.7500 0.5000
Sc 0.5000 0.5000 0.0000
Ta 0.7500 0.2500 0.5000

Its space group is No. 119.

***

4.
Material: ScTaCu2
Method: DFT, GGA-PBE
State: relaxed

Cell lengths 4.4944, 4.4944, 4.4944 Å; angles 60.00, 60.00, 60.00 degrees
Element x y z (fractional)
Cu 0.0000 0.0000 0.0000
Cu 0.2500 0.2500 0.2500
Sc 0.5000 0.5000 0.5000
Ta 0.7500 0.7500 0.7500

Its space group is No. 216.

***

5.
Material: ScTaCu2
Method: DFT, GGA-PBE
State: relaxed

Cell lengths 2.8789, 2.8789, 7.6917 Å; angles 90.00, 90.00, 89.93 degrees
Element x y z (fractional)
Cu 0.0000 0.0000 0.9940
Cu 0.0000 0.0000 0.5060
Sc 0.5000 0.5000 0.2500
Ta 0.5000 0.5000 0.7500

Its space group is No. 123.

***

6.
Material: ScTaCu2
Method: DFT, GGA-PBE
State: relaxed

Cell lengths 4.6148, 4.6148, 5.5173 Å; angles 81.39, 81.39, 35.95 degrees
Element x y z (fractional)
Cu 0.9981 0.9981 0.0426
Cu 0.5019 0.5019 0.4574
Sc 0.7500 0.7500 0.7500
Ta 0.2500 0.2500 0.2500

Its space group is No. 12.

***

7.
Material: ScTaCu2
Method: DFT, GGA-PBE
State: relaxed

Cell lengths 3.7035, 2.8500, 6.7443 Å; angles 64.92, 90.00, 90.00 degrees
Element x y z (fractional)
Cu 0.0000 0.0204 0.9794
Cu 0.0000 0.4796 0.5206
Sc 0.5000 0.2500 0.2500
Ta 0.5000 0.7500 0.7500

Its space group is No. 10.

***

8.
Material: Sc3TaCu
Method: DFT, GGA-PBE
State: relaxed

Cell lengths 5.1025, 5.1025, 5.1025 Å; angles 90.00, 90.00, 90.00 degrees
Element x y z (fractional)
Sc 0.0000 0.5000 0.0000
Sc 0.0000 0.0000 0.5000
Sc 0.5000 0.0000 0.0000
Cu 0.5000 0.5000 0.5000
Ta 0.0000 0.0000 0.0000

Its space group is No. 221.

***

For reference, calculated total energy by record: -26.14; -25.53; -25.65; -24.80; -26.31; -25.52; -26.27; -30.40 eV for the cell shown.